--- a ---
# TiReAg3

Crystalline TiReAg3 at its relaxed geometry (PBE, the Alexandria database).

Cell lengths 4.8838, 4.8838, 4.8838 Å; angles 90.00, 90.00, 90.00 degrees
Last column: nearest neighbours and their distance in Å.
Space group Pm-3m (No. 221)
Symmetry-distinct sites (fractional):
Ti: 0.0000 0.0000 0.0000 x1  6 Ag 2.44
Re: 0.5000 0.5000 0.5000 x1  12 Ag 3.45
Ag: 0.0000 0.0000 0.5000 x3  2 Ti 2.44

=====

--- b ---
# TiReAg3

Crystalline TiReAg3 at its relaxed geometry (PBE, the Alexandria database).

Cell lengths 4.9548, 4.9548, 4.9548 Å; angles 90.00, 90.00, 90.00 degrees
Last column: nearest neighbours and their distance in Å.
Space group Pm-3m (No. 221)
Symmetry-distinct sites (fractional):
Ti: 0.0000 0.0000 0.0000 x1  12 Ag 3.50
Re: 0.5000 0.5000 0.5000 x1  6 Ag 2.48
Ag: 0.0000 0.5000 0.5000 x3  2 Re 2.48

=====

Calculated relative energies: a 18.5; b 0.0, given in kJ/mol of atoms